A plane-wave DFT calculation with GGA-PBE was carried out for a geometry-optimized LiMgZr2Sn structure.

Calculated values
E_tot ... -21.83 eV per cell
Formation enthalpy at 0 K ... 556 meV per atom
Magnetic moment ... 0.000 μB per formula unit

Lattice parameters (Å, degrees): 5.425 4.734 5.425 90.00 90.00 90.00
Fractional coordinates of all 5 atoms:
Sn 0.000 0.000 0.000
Mg 0.500 0.500 0.500
Zr 0.000 0.000 0.500
Zr 0.500 0.000 0.000
Li 0.000 0.500 0.000

=====

A plane-wave DFT calculation with GGA-PBE was carried out for a geometry-optimized HgIr2Au structure.

Calculated values
E_tot ... -19.35 eV per cell
Formation enthalpy at 0 K ... 488 meV per atom
Magnetic moment ... 0.000 μB per formula unit

Lattice parameters (Å, degrees): 5.650 5.650 5.650 151.10 128.41 60.22
Fractional coordinates of all 4 atoms:
Au 0.750 0.250 0.500
Ir 0.996 0.996 0.000
Ir 0.504 0.504 0.000
Hg 0.250 0.750 0.500

=====

A plane-wave DFT calculation with GGA-PBE was carried out for a geometry-optimized Ac3TlSb2Pd9 structure.

Calculated values
E_form (uncorrected) ... -0.57 eV per atom
E_tot ... -78.19 eV per cell
Magnetic moment ... 0.000 μB per formula unit

Lattice parameters (Å, degrees): 5.953 5.953 12.456 90.00 90.00 120.00
Fractional coordinates of all 15 atoms:
Sb 0.667 0.333 0.836
Sb 0.333 0.667 0.164
Pd 0.500 0.000 0.000
Pd 0.841 0.159 0.680
Pd 0.841 0.681 0.680
Pd 0.500 0.500 0.000
Pd 0.681 0.841 0.320
Pd 0.159 0.841 0.320
Pd 0.319 0.159 0.680
Pd 0.000 0.500 0.000
Pd 0.159 0.319 0.320
Ac 0.667 0.333 0.250
Ac 0.333 0.667 0.750
Ac 0.000 0.000 0.000
Tl 0.000 0.000 0.500

=====

A plane-wave DFT calculation with GGA-PBE was carried out for a geometry-optimized Pr2P3PdPt4 structure.

Calculated values
E_tot ... -63.87 eV per cell
Formation enthalpy at 0 K ... -872 meV per atom
Magnetic moment ... 0.000 μB per formula unit

Lattice parameters (Å, degrees): 4.263 4.263 10.130 90.00 90.00 90.00
Fractional coordinates of all 10 atoms:
Pr 0.500 0.000 0.251
Pr 0.000 0.500 0.749
Pt 0.500 0.000 0.647
Pt 0.000 0.500 0.353
Pt 0.000 0.000 0.000
Pt 0.500 0.500 0.000
P 0.000 0.500 0.127
P 0.500 0.000 0.873
P 0.000 0.000 0.500
Pd 0.500 0.500 0.500

=====

A plane-wave DFT calculation with GGA-PBE was carried out for a geometry-optimized Sr2YMgPd structure.

Calculated values
E_tot ... -17.32 eV per cell
Formation enthalpy at 0 K ... -142 meV per atom
Magnetic moment ... 0.000 μB per formula unit

Lattice parameters (Å, degrees): 5.913 5.913 5.472 90.00 90.00 90.00
Fractional coordinates of all 5 atoms:
Pd 0.000 0.000 0.000
Sr 0.000 0.500 0.000
Sr 0.500 0.000 0.000
Mg 0.500 0.500 0.500
Y 0.000 0.000 0.500